A plane-wave DFT calculation with PBE was carried out for Tm3Si3Rh2 after structural relaxation.

Cell: 7.9305 13.8163 5.5558 Å, 90.00 90.00 90.00°
Last column: nearest neighbours and their distance in Å.
Element x y z (fractional)
Tm 0.0447 0.1139 0.1199  4 Rh 2.92-3.25, 7 Si 2.92-3.25
Tm 0.0447 0.3861 0.1199  4 Rh 2.92-3.25, 7 Si 2.92-3.25
Tm 0.1942 0.2500 0.6263  5 Si 2.89-3.13, 4 Rh 3.08-3.17
Tm 0.3058 0.7500 0.1263  5 Si 2.89-3.13, 4 Rh 3.08-3.17
Tm 0.4553 0.6139 0.6199  4 Rh 2.92-3.25, 7 Si 2.92-3.25
Tm 0.4553 0.8861 0.6199  4 Rh 2.92-3.25, 7 Si 2.92-3.25
Tm 0.5447 0.1139 0.3801  4 Rh 2.92-3.25, 7 Si 2.92-3.25
Tm 0.5447 0.3861 0.3801  4 Rh 2.92-3.25, 7 Si 2.92-3.25
Tm 0.6942 0.2500 0.8737  5 Si 2.89-3.13, 4 Rh 3.08-3.17
Tm 0.8058 0.7500 0.3737  5 Si 2.89-3.13, 4 Rh 3.08-3.17
Tm 0.9553 0.6139 0.8801  4 Rh 2.92-3.25, 7 Si 2.92-3.25
Tm 0.9553 0.8861 0.8801  4 Rh 2.92-3.25, 7 Si 2.92-3.25
Si 0.1601 0.7500 0.6025  2 Rh 2.56
Si 0.2009 0.0394 0.6274  3 Rh 2.36-2.45
Si 0.2009 0.4606 0.6274  3 Rh 2.36-2.45
Si 0.2991 0.5394 0.1274  3 Rh 2.36-2.45
Si 0.2991 0.9606 0.1274  3 Rh 2.36-2.45
Si 0.3399 0.2500 0.1025  2 Rh 2.56
Si 0.6601 0.7500 0.8975  2 Rh 2.56
Si 0.7009 0.0394 0.8726  3 Rh 2.36-2.45
Si 0.7009 0.4606 0.8726  3 Rh 2.36-2.45
Si 0.7991 0.5394 0.3726  3 Rh 2.36-2.45
Si 0.7991 0.9606 0.3726  3 Rh 2.36-2.45
Si 0.8399 0.2500 0.3975  2 Rh 2.56
Rh 0.0813 0.5926 0.3888  4 Si 2.36-2.56
Rh 0.0813 0.9074 0.3888  4 Si 2.36-2.56
Rh 0.4187 0.0926 0.8888  4 Si 2.36-2.56
Rh 0.4187 0.4074 0.8888  4 Si 2.36-2.56
Rh 0.5813 0.5926 0.1112  4 Si 2.36-2.56
Rh 0.5813 0.9074 0.1112  4 Si 2.36-2.56
Rh 0.9187 0.0926 0.6112  4 Si 2.36-2.56
Rh 0.9187 0.4074 0.6112  4 Si 2.36-2.56

Values from the calculation:
size of the total moment: 0.000 μB/f.u.
E: -6.521 eV/atom
uncorrected formation energy: -0.97 eV/atom
space group: Pnma
E above lowest polymorph: 49 meV/atom